1 | This record from Alexandria describes a relaxed structure of H7Pd2Pt2. The functional is PBE.

The calculation puts the size of the total moment at 0.000 μB/cell. As for the crystal system: monoclinic.

Cell: 6.624 5.997 4.482 Å, 90.00 90.17 90.00°
Space group C2/m (No. 12)
One atom of each set of equivalent atoms:
1 H 0.000 0.000 0.000 x2
2 H 0.000 0.500 0.240 x4
3 H 0.249 0.250 0.748 x8
4 Pd 0.000 0.247 0.500 x4
5 Pt 0.238 0.500 0.001 x4

2 | This record from Alexandria describes a relaxed structure of H7Pd2Pt2. The functional is PBE.

The calculation puts the size of the total moment at 0.000 μB/cell. As for the crystal system: monoclinic.

Cell: 6.175 6.583 4.862 Å, 90.00 106.50 90.00°
Space group C2/m (No. 12)
One atom of each set of equivalent atoms:
1 H 0.000 0.000 0.000 x2
2 H 0.139 0.500 0.664 x4
3 H 0.217 0.304 0.265 x8
4 Pd 0.000 0.269 0.500 x4
5 Pt 0.233 0.500 0.041 x4

Stability check: which of them is most stable? 1.

1 | This record from Alexandria describes a relaxed structure of HPdPt2Rh. The functional is PBE.

The calculation puts the size of the total moment at 0.544 μB/cell. As for the crystal system: tetragonal.

Cell: 4.010 4.010 3.965 Å, 90.00 90.00 90.00°
Space group P4/mmm (No. 123)
One atom of each set of equivalent atoms:
1 H 0.000 0.000 0.000 x1
2 Pd 0.500 0.500 0.500 x1
3 Pt 0.000 0.500 0.000 x2
4 Rh 0.000 0.000 0.500 x1

2 | This record from Alexandria describes a relaxed structure of HPdPt2Rh. The functional is PBE.

The calculation puts the size of the total moment at 0.000 μB/cell. As for the crystal system: tetragonal.

Cell: 3.973 3.973 4.045 Å, 90.00 90.00 90.00°
Space group P4/mmm (No. 123)
One atom of each set of equivalent atoms:
1 H 0.000 0.000 0.000 x1
2 Pd 0.000 0.000 0.500 x1
3 Pt 0.000 0.500 0.000 x2
4 Rh 0.500 0.500 0.500 x1

Stability check: which of them is most stable? 1.